First-principles (PBE) data for CsRePt after structural relaxation, as listed in Alexandria.

Lattice parameters (Å, degrees): 12.455 4.298 4.298 120.00 90.10 90.03
Sites, in units of the cell vectors:
Cs 0.990 0.956 0.886
Cs 0.390 0.619 0.215
Re 0.689 0.954 0.884
Re 0.692 0.621 0.217
Pt 0.800 0.288 0.551
Pt 0.581 0.287 0.550

Values from the calculation:
total moment = 0.000 μB/atom
DOS(E_F) = 0.52 states/eV/atom
formation energy = 0.74 eV per formula unit
final energy = -37.21 eV per cell
relative energy among the computed polymorphs = 0 meV per atom